First-principles (PBE-GGA) data for crystalline PuCrB4 at its relaxed geometry, as listed in Alexandria via LeMat-Bulk. Values from VASP.

```
&SYSTEM
  ibrav = 0, nat = 24, ntyp = 3
/
ATOMIC_SPECIES
B 10.81 B.upf
Cr 52.00 Cr.upf
Pu 244.00 Pu.upf
CELL_PARAMETERS angstrom
-3.357 0.352 0.621
-1.165 -0.988 -5.736
-0.791 -11.266 2.101
ATOMIC_POSITIONS crystal
B 0.500 0.386 0.046
B 0.500 0.026 0.691
B 0.500 0.137 0.967
B 0.500 0.863 0.033
B 0.500 0.474 0.191
B 0.500 0.219 0.815
B 0.500 0.614 0.954
B 0.500 0.114 0.546
B 0.500 0.974 0.309
B 0.500 0.281 0.315
B 0.500 0.526 0.809
B 0.500 0.363 0.467
B 0.500 0.886 0.454
B 0.500 0.637 0.533
B 0.500 0.781 0.185
B 0.500 0.719 0.685
Cr 0.000 0.624 0.082
Cr 0.000 0.376 0.918
Cr 0.000 0.124 0.418
Cr 0.000 0.876 0.582
Pu 0.000 0.624 0.349
Pu 0.000 0.124 0.151
Pu 0.000 0.876 0.849
Pu 0.000 0.376 0.651
```

Summary:
DOS at the Fermi energy = 1.152 states/eV per atom
DFT total energy = -8.994 eV per atom

=====

First-principles (PBE-GGA) data for crystalline Pu3CrB2Rh9 at its relaxed geometry, as listed in Alexandria via LeMat-Bulk. Values from VASP.

```
&SYSTEM
  ibrav = 0, nat = 15, ntyp = 4
/
ATOMIC_SPECIES
Rh 102.91 Rh.upf
Pu 244.00 Pu.upf
B 10.81 B.upf
Cr 52.00 Cr.upf
CELL_PARAMETERS angstrom
-2.147 -5.140 2.936
6.177 0.709 -0.995
0.625 3.296 6.227
ATOMIC_POSITIONS crystal
Rh 0.000 0.500 0.000
Rh 0.634 0.817 0.668
Rh 0.183 0.817 0.668
Rh 0.183 0.366 0.668
Rh 0.817 0.183 0.332
Rh 0.366 0.183 0.332
Rh 0.817 0.634 0.332
Rh 0.500 0.500 0.000
Rh 0.500 0.000 0.000
Pu 0.667 0.333 0.674
Pu 0.000 0.000 0.000
Pu 0.333 0.667 0.326
B 0.333 0.667 0.856
B 0.667 0.333 0.144
Cr 0.000 0.000 0.500
```

Summary:
DOS at the Fermi energy = 3.068 states/eV per atom
DFT total energy = -9.105 eV per atom

=====

First-principles (PBE-GGA) data for crystalline Pu2CrB2Ru5 at its relaxed geometry, as listed in Alexandria via LeMat-Bulk. Values from VASP.

```
&SYSTEM
  ibrav = 0, nat = 20, ntyp = 4
/
ATOMIC_SPECIES
Ru 101.07 Ru.upf
Cr 52.00 Cr.upf
Pu 244.00 Pu.upf
B 10.81 B.upf
CELL_PARAMETERS angstrom
-0.878 1.759 -2.341
-6.674 -6.506 -2.385
-6.355 4.426 5.708
ATOMIC_POSITIONS crystal
Ru 0.500 0.431 0.283
Ru 0.500 0.569 0.717
Ru 0.500 0.069 0.783
Ru 0.500 0.217 0.069
Ru 0.500 0.500 0.000
Ru 0.500 0.931 0.217
Ru 0.500 0.283 0.569
Ru 0.500 0.000 0.500
Ru 0.500 0.717 0.431
Ru 0.500 0.783 0.931
Cr 0.000 0.000 0.000
Cr 0.000 0.500 0.500
Pu 0.000 0.823 0.677
Pu 0.000 0.323 0.823
Pu 0.000 0.677 0.177
Pu 0.000 0.177 0.323
B 0.000 0.122 0.622
B 0.000 0.378 0.122
B 0.000 0.878 0.378
B 0.000 0.622 0.878
```

Summary:
DOS at the Fermi energy = 1.931 states/eV per atom
DFT total energy = -10.041 eV per atom

=====

First-principles (PBE-GGA) data for crystalline RbCrB2 at its relaxed geometry, as listed in Alexandria via LeMat-Bulk. Values from VASP.

```
&SYSTEM
  ibrav = 0, nat = 4, ntyp = 3
/
ATOMIC_SPECIES
B 10.81 B.upf
Rb 85.47 Rb.upf
Cr 52.00 Cr.upf
CELL_PARAMETERS angstrom
0.000 3.114 3.114
3.114 0.000 3.114
3.114 3.114 0.000
ATOMIC_POSITIONS crystal
B 0.750 0.750 0.750
B 0.250 0.250 0.250
Rb 0.500 0.500 0.500
Cr 0.000 0.000 0.000
```

Summary:
DOS at the Fermi energy = 3.066 states/eV per atom
relative energy among the computed polymorphs = 1.487 eV/atom

=====

First-principles (PBE-GGA) data for crystalline RbCrB2 at its relaxed geometry, as listed in Alexandria via LeMat-Bulk. Values from VASP.

```
&SYSTEM
  ibrav = 0, nat = 8, ntyp = 3
/
ATOMIC_SPECIES
B 10.81 B.upf
Cr 52.00 Cr.upf
Rb 85.47 Rb.upf
CELL_PARAMETERS angstrom
-2.027 -4.189 4.304
5.887 -0.483 2.302
1.080 1.035 6.184
ATOMIC_POSITIONS crystal
B 0.377 0.625 0.250
B 0.375 0.627 0.750
B 0.875 0.623 0.750
B 0.373 0.125 0.250
Cr 0.250 0.750 0.500
Cr 0.500 0.500 0.000
Rb 0.750 0.250 0.500
Rb 0.000 0.000 0.000
```

Summary:
DOS at the Fermi energy = 0.481 states/eV per atom
relative energy among the computed polymorphs = 0.000 eV/atom

=====

First-principles (PBE-GGA) data for crystalline Rb3CrB at its relaxed geometry, as listed in Alexandria via LeMat-Bulk. Values from VASP.

```
&SYSTEM
  ibrav = 0, nat = 5, ntyp = 3
/
ATOMIC_SPECIES
Cr 52.00 Cr.upf
B 10.81 B.upf
Rb 85.47 Rb.upf
CELL_PARAMETERS angstrom
6.256 0.000 0.000
0.000 6.256 0.000
0.000 0.000 6.256
ATOMIC_POSITIONS crystal
Cr 0.500 0.500 0.500
B 0.000 0.000 0.000
Rb 0.000 0.500 0.000
Rb 0.500 0.000 0.000
Rb 0.000 0.000 0.500
```

Summary:
DOS at the Fermi energy = 1.115 states/eV per atom
relative energy among the computed polymorphs = 0.000 eV/atom

=====

First-principles (PBE-GGA) data for crystalline RbCr3B at its relaxed geometry, as listed in Alexandria via LeMat-Bulk. Values from VASP.

```
&SYSTEM
  ibrav = 0, nat = 5, ntyp = 3
/
ATOMIC_SPECIES
Cr 52.00 Cr.upf
Rb 85.47 Rb.upf
B 10.81 B.upf
CELL_PARAMETERS angstrom
-0.981 0.999 -5.596
-2.466 -5.191 -0.494
-5.122 2.308 1.310
ATOMIC_POSITIONS crystal
Cr 0.500 0.000 0.000
Cr 0.000 0.500 0.000
Cr 0.000 0.000 0.500
Rb 0.000 0.000 0.000
B 0.500 0.500 0.500
```

Summary:
DOS at the Fermi energy = 0.703 states/eV per atom
relative energy among the computed polymorphs = 2.147 eV/atom

=====

First-principles (PBE-GGA) data for crystalline Rb2CrB at its relaxed geometry, as listed in Alexandria via LeMat-Bulk. Values from VASP.

```
&SYSTEM
  ibrav = 0, nat = 8, ntyp = 3
/
ATOMIC_SPECIES
Rb 85.47 Rb.upf
Cr 52.00 Cr.upf
B 10.81 B.upf
CELL_PARAMETERS angstrom
-5.044 11.581 0.667
-6.508 -2.223 -10.617
-7.366 3.921 -3.842
ATOMIC_POSITIONS crystal
Rb 0.375 0.568 0.750
Rb 0.875 0.682 0.750
Rb 0.318 0.625 0.250
Rb 0.432 0.125 0.250
Cr 0.750 0.250 0.500
Cr 0.000 0.000 0.000
B 0.500 0.500 0.000
B 0.250 0.750 0.500
```

Summary:
DOS at the Fermi energy = 0.568 states/eV per atom
DFT total energy = -3.645 eV per atom

=====

Number 1: size of the total moment 4.8 μB/f.u.. Number 2: size of the total moment 14.1 μB/f.u.. Number 3: size of the total moment 9.5 μB/f.u.. Number 4: size of the total moment 0.2 μB/f.u.. Number 5: size of the total moment 0.0 μB/f.u.. Number 6: size of the total moment 4.8 μB/f.u.. Number 7: size of the total moment 15.5 μB/f.u.. Number 8: size of the total moment 3.3 μB/f.u..